The following is a PBEsol calculation of crystalline BeFeSeN2 at its relaxed geometry, from Alexandria via LeMat-Bulk.

Cell: 3.4655 3.4655 5.1864 Å, 90.00 90.00 90.00°
Closest atoms and distances in Å follow each position.
Space group P4/mmm (No. 123)
Unique sites:
Be1 0.0000 0.0000 0.0000 (multiplicity 1)  4 Se 2.45
Fe1 0.5000 0.5000 0.5000 (multiplicity 1)  4 N 1.73
Se1 0.5000 0.5000 0.0000 (multiplicity 1)  4 Be 2.45, 2 Fe 2.59
N1 0.0000 0.5000 0.5000 (multiplicity 2)  2 Fe 1.73

Output
- Formation energy (no corrections): 0.622 eV per atom

***

The following is a PBEsol calculation of crystalline Li2YSc at its relaxed geometry, from Alexandria via LeMat-Bulk.

Cell: 3.5353 3.5353 7.3864 Å, 90.00 90.00 90.00°
Closest atoms and distances in Å follow each position.
Space group P4mm (No. 99)
Unique sites:
Li1 0.0000 0.0000 0.0000 (multiplicity 1)  4 Li 2.87
Li2 0.5000 0.5000 0.1899 (multiplicity 1)  4 Li 2.87, 4 Sc 3.09
Y1 0.5000 0.5000 0.7199 (multiplicity 1)  5 Li 3.25-3.47, 4 Sc 3.26, 4 Y 3.54
Sc1 0.0000 0.0000 0.4363 (multiplicity 1)  5 Li 3.09-3.22, 4 Y 3.26

Output
- Relative energy among the computed polymorphs: 0 meV/atom

***

no.,magnetic moment (μB per formula unit)
1,0.00
2,0.00